Entry 1:
## La3CdSb (GGA-PBE)

Data for a relaxed structure of La3CdSb. Values from VASP.

```
&SYSTEM
  ibrav = 0, nat = 5, ntyp = 3
/
ATOMIC_SPECIES
La 138.91 La.upf
Cd 112.41 Cd.upf
Sb 121.76 Sb.upf
CELL_PARAMETERS angstrom
6.016 0.000 0.000
0.000 6.016 0.000
0.000 0.000 6.016
ATOMIC_POSITIONS crystal
La 0.000 0.000 0.500
La 0.000 0.500 0.000
La 0.500 0.000 0.000
Cd 0.500 0.500 0.500
Sb 0.000 0.000 0.000
```

Properties
* magnetic moment: 0.0 μB/f.u.
* energy above the lowest structure with this stoichiometry: 0.000 eV/f.u.
* formation energy without anion corrections: -92 meV per atom
* total DFT energy (no corrections): -20.28 eV per formula unit
* crystal system: cubic


Entry 2:
## LaCdSb2 (GGA-PBE)

Data for a relaxed structure of LaCdSb2. Values from VASP.

```
&SYSTEM
  ibrav = 0, nat = 4, ntyp = 3
/
ATOMIC_SPECIES
La 138.91 La.upf
Cd 112.41 Cd.upf
Sb 121.76 Sb.upf
CELL_PARAMETERS angstrom
-2.369 2.369 4.962
2.369 -2.369 4.962
2.369 2.369 -4.962
ATOMIC_POSITIONS crystal
La 0.000 0.000 0.000
Cd 0.500 0.500 0.000
Sb 0.250 0.750 0.500
Sb 0.750 0.250 0.500
```

Properties
* magnetic moment: 0.0 μB/f.u.
* formation energy without anion corrections: -576 meV per atom
* total DFT energy (no corrections): -16.39 eV per formula unit
* crystal system: tetragonal


Entry 3:
## LaCd2Sb2 (GGA-PBE)

Data for a relaxed structure of LaCd2Sb2. Values from VASP.

```
&SYSTEM
  ibrav = 0, nat = 5, ntyp = 3
/
ATOMIC_SPECIES
La 138.91 La.upf
Cd 112.41 Cd.upf
Sb 121.76 Sb.upf
CELL_PARAMETERS angstrom
-2.695 2.695 4.970
2.695 -2.695 4.970
2.695 2.695 -4.970
ATOMIC_POSITIONS crystal
La 0.000 0.000 0.000
Cd 0.365 0.365 0.000
Cd 0.635 0.635 0.000
Sb 0.250 0.750 0.500
Sb 0.750 0.250 0.500
```

Properties
* magnetic moment: 0.0 μB/f.u.
* formation energy without anion corrections: -324 meV per atom
* total DFT energy (no corrections): -16.62 eV per formula unit
* crystal system: tetragonal


Entry 4:
## La2CdSb (GGA-PBE)

Data for a relaxed structure of La2CdSb. Values from VASP.

```
&SYSTEM
  ibrav = 0, nat = 8, ntyp = 3
/
ATOMIC_SPECIES
La 138.91 La.upf
Cd 112.41 Cd.upf
Sb 121.76 Sb.upf
CELL_PARAMETERS angstrom
-4.330 4.330 3.600
4.330 -4.330 3.600
4.330 4.330 -3.600
ATOMIC_POSITIONS crystal
La 0.119 0.625 0.994
La 0.375 0.369 0.494
La 0.631 0.125 0.006
La 0.875 0.881 0.506
Cd 0.250 0.750 0.500
Cd 0.500 0.500 0.000
Sb 0.000 0.000 0.000
Sb 0.750 0.250 0.500
```

Properties
* magnetic moment: 0.6 μB/f.u.
* energy above the lowest structure with this stoichiometry: 1.120 eV/f.u.
* formation energy without anion corrections: -449 meV per atom
* total DFT energy (no corrections): -16.69 eV per formula unit
* crystal system: tetragonal


Entry 5:
## LaCdSb4 (GGA-PBE)

Data for a relaxed structure of LaCdSb4. Values from VASP.

```
&SYSTEM
  ibrav = 0, nat = 6, ntyp = 3
/
ATOMIC_SPECIES
La 138.91 La.upf
Cd 112.41 Cd.upf
Sb 121.76 Sb.upf
CELL_PARAMETERS angstrom
0.000 4.458 4.458
4.458 0.000 4.458
4.458 4.458 0.000
ATOMIC_POSITIONS crystal
La 0.000 0.000 0.000
Cd 0.250 0.250 0.250
Sb 0.128 0.624 0.624
Sb 0.624 0.128 0.624
Sb 0.624 0.624 0.128
Sb 0.624 0.624 0.624
```

Properties
* magnetic moment: 0.0 μB/f.u.
* formation energy without anion corrections: -185 meV per atom
* total DFT energy (no corrections): -23.44 eV per formula unit
* crystal system: cubic


Entry 6:
## LaCdSb2 (GGA-PBE)

Data for a relaxed structure of LaCdSb2. Values from VASP.

```
&SYSTEM
  ibrav = 0, nat = 4, ntyp = 3
/
ATOMIC_SPECIES
La 138.91 La.upf
Cd 112.41 Cd.upf
Sb 121.76 Sb.upf
CELL_PARAMETERS angstrom
-2.262 2.273 5.455
2.262 -2.273 5.455
2.262 2.273 -5.455
ATOMIC_POSITIONS crystal
La 0.000 0.000 0.000
Cd 0.749 0.249 0.500
Sb 0.251 0.751 0.500
Sb 0.500 0.500 0.000
```

Properties
* magnetic moment: 0.0 μB/f.u.
* formation energy without anion corrections: -558 meV per atom
* total DFT energy (no corrections): -16.32 eV per formula unit
* crystal system: orthorhombic


Entry 7:
## La2CdSb3 (GGA-PBE)

Data for a relaxed structure of La2CdSb3. Values from VASP.

```
&SYSTEM
  ibrav = 0, nat = 6, ntyp = 3
/
ATOMIC_SPECIES
La 138.91 La.upf
Cd 112.41 Cd.upf
Sb 121.76 Sb.upf
CELL_PARAMETERS angstrom
8.439 0.000 0.000
0.000 8.439 0.000
0.000 0.000 17.100
ATOMIC_POSITIONS crystal
La 0.000 0.000 0.175
La 0.000 0.000 0.825
Cd 0.000 0.000 0.500
Sb 0.000 0.000 0.000
Sb 0.000 0.000 0.342
Sb 0.000 0.000 0.658
```

Properties
* magnetic moment: 0.7 μB/f.u.
* formation energy without anion corrections: 813 meV per atom
* total DFT energy (no corrections): -18.26 eV per formula unit
* crystal system: tetragonal


Entry 8:
## LaCdSb (GGA-PBE)

Data for a relaxed structure of LaCdSb. Values from VASP.

```
&SYSTEM
  ibrav = 0, nat = 3, ntyp = 3
/
ATOMIC_SPECIES
La 138.91 La.upf
Cd 112.41 Cd.upf
Sb 121.76 Sb.upf
CELL_PARAMETERS angstrom
-1.772 2.146 5.624
1.772 -2.146 5.624
1.772 2.146 -5.624
ATOMIC_POSITIONS crystal
La 0.000 0.000 0.000
Cd 0.320 0.320 0.000
Sb 0.677 0.677 0.000
```

Properties
* magnetic moment: 0.0 μB/f.u.
* energy above the lowest structure with this stoichiometry: 0.588 eV/f.u.
* formation energy without anion corrections: -512 meV per atom
* total DFT energy (no corrections): -11.50 eV per formula unit
* crystal system: orthorhombic


Entry 9:
## La2CdSb (GGA-PBE)

Data for a relaxed structure of La2CdSb. Values from VASP.

```
&SYSTEM
  ibrav = 0, nat = 4, ntyp = 3
/
ATOMIC_SPECIES
La 138.91 La.upf
Cd 112.41 Cd.upf
Sb 121.76 Sb.upf
CELL_PARAMETERS angstrom
2.249 1.299 8.080
-2.249 1.299 8.080
0.000 -2.597 8.080
ATOMIC_POSITIONS crystal
La 0.000 0.000 0.000
La 0.208 0.208 0.208
Cd 0.746 0.746 0.746
Sb 0.461 0.461 0.461
```

Properties
* magnetic moment: 2.0 μB/f.u.
* energy above the lowest structure with this stoichiometry: 1.812 eV/f.u.
* formation energy without anion corrections: -276 meV per atom
* total DFT energy (no corrections): -16.00 eV per formula unit
* crystal system: trigonal


Entry 10:
## La2Cd2Sb (GGA-PBE)

Data for a relaxed structure of La2Cd2Sb. Values from VASP.

```
&SYSTEM
  ibrav = 0, nat = 10, ntyp = 3
/
ATOMIC_SPECIES
La 138.91 La.upf
Cd 112.41 Cd.upf
Sb 121.76 Sb.upf
CELL_PARAMETERS angstrom
8.211 0.000 0.000
0.000 8.211 0.000
0.000 0.000 4.856
ATOMIC_POSITIONS crystal
La 0.147 0.353 0.000
La 0.353 0.853 0.000
La 0.647 0.147 0.000
La 0.853 0.647 0.000
Cd 0.151 0.651 0.500
Cd 0.349 0.151 0.500
Cd 0.651 0.849 0.500
Cd 0.849 0.349 0.500
Sb 0.000 0.000 0.000
Sb 0.500 0.500 0.000
```

Properties
* magnetic moment: 0.0 μB/f.u.
* energy above the lowest structure with this stoichiometry: 0.710 eV/f.u.
* formation energy without anion corrections: -336 meV per atom
* total DFT energy (no corrections): -17.49 eV per formula unit
* crystal system: tetragonal


Entry 11:
## LaCdSb (GGA-PBE)

Data for a relaxed structure of LaCdSb. Values from VASP.

```
&SYSTEM
  ibrav = 0, nat = 3, ntyp = 3
/
ATOMIC_SPECIES
La 138.91 La.upf
Cd 112.41 Cd.upf
Sb 121.76 Sb.upf
CELL_PARAMETERS angstrom
0.000 3.614 3.614
3.614 0.000 3.614
3.614 3.614 0.000
ATOMIC_POSITIONS crystal
La 0.000 0.000 0.000
Cd 0.250 0.250 0.250
Sb 0.500 0.500 0.500
```

Properties
* magnetic moment: 0.0 μB/f.u.
* energy above the lowest structure with this stoichiometry: 0.904 eV/f.u.
* formation energy without anion corrections: -406 meV per atom
* total DFT energy (no corrections): -11.18 eV per formula unit
* crystal system: cubic


Entry 12:
## LaCdSb2 (GGA-PBE)

Data for a relaxed structure of LaCdSb2. Values from VASP.

```
&SYSTEM
  ibrav = 0, nat = 4, ntyp = 3
/
ATOMIC_SPECIES
La 138.91 La.upf
Cd 112.41 Cd.upf
Sb 121.76 Sb.upf
CELL_PARAMETERS angstrom
4.160 0.000 0.000
0.000 4.160 0.000
0.000 0.000 6.589
ATOMIC_POSITIONS crystal
La 0.000 0.000 0.000
Cd 0.000 0.000 0.500
Sb 0.500 0.500 0.257
Sb 0.500 0.500 0.743
```

Properties
* magnetic moment: 0.0 μB/f.u.
* formation energy without anion corrections: -502 meV per atom
* total DFT energy (no corrections): -16.09 eV per formula unit
* crystal system: tetragonal


Entry 13:
## La4Cd3Sb (GGA-PBE)

Data for a relaxed structure of La4Cd3Sb. Values from VASP.

```
&SYSTEM
  ibrav = 0, nat = 8, ntyp = 3
/
ATOMIC_SPECIES
La 138.91 La.upf
Cd 112.41 Cd.upf
Sb 121.76 Sb.upf
CELL_PARAMETERS angstrom
4.025 0.000 0.000
0.000 4.025 0.000
0.000 0.000 15.146
ATOMIC_POSITIONS crystal
La 0.000 0.000 0.117
La 0.000 0.000 0.373
La 0.000 0.000 0.627
La 0.000 0.000 0.883
Cd 0.500 0.500 0.253
Cd 0.500 0.500 0.500
Cd 0.500 0.500 0.747
Sb 0.500 0.500 0.000
```

Properties
* magnetic moment: 0.4 μB/f.u.
* formation energy without anion corrections: -517 meV per atom
* total DFT energy (no corrections): -30.71 eV per formula unit
* crystal system: tetragonal


Entry 14:
## La2CdSb2 (GGA-PBE)

Data for a relaxed structure of La2CdSb2. Values from VASP.

```
&SYSTEM
  ibrav = 0, nat = 10, ntyp = 3
/
ATOMIC_SPECIES
La 138.91 La.upf
Cd 112.41 Cd.upf
Sb 121.76 Sb.upf
CELL_PARAMETERS angstrom
8.461 0.000 0.000
0.000 8.461 0.000
0.000 0.000 4.308
ATOMIC_POSITIONS crystal
La 0.154 0.346 0.000
La 0.346 0.846 0.000
La 0.654 0.154 0.000
La 0.846 0.654 0.000
Cd 0.000 0.000 0.500
Cd 0.500 0.500 0.500
Sb 0.152 0.652 0.500
Sb 0.348 0.152 0.500
Sb 0.652 0.848 0.500
Sb 0.848 0.348 0.500
```

Properties
* magnetic moment: 0.0 μB/f.u.
* energy above the lowest structure with this stoichiometry: 0.000 eV/f.u.
* formation energy without anion corrections: -881 meV per atom
* total DFT energy (no corrections): -23.42 eV per formula unit
* crystal system: tetragonal


Entry 15:
## LaCdSb2 (GGA-PBE)

Data for a relaxed structure of LaCdSb2. Values from VASP.

```
&SYSTEM
  ibrav = 0, nat = 4, ntyp = 3
/
ATOMIC_SPECIES
La 138.91 La.upf
Cd 112.41 Cd.upf
Sb 121.76 Sb.upf
CELL_PARAMETERS angstrom
2.380 1.374 6.304
-2.380 1.374 6.304
0.000 -2.748 6.304
ATOMIC_POSITIONS crystal
La 0.000 0.000 0.000
Cd 0.500 0.500 0.500
Sb 0.244 0.244 0.244
Sb 0.756 0.756 0.756
```

Properties
* magnetic moment: 0.0 μB/f.u.
* formation energy without anion corrections: -430 meV per atom
* total DFT energy (no corrections): -15.81 eV per formula unit
* crystal system: trigonal


Entry 16:
## LaCdSb2 (GGA-PBE)

Data for a relaxed structure of LaCdSb2. Values from VASP.

```
&SYSTEM
  ibrav = 0, nat = 4, ntyp = 3
/
ATOMIC_SPECIES
La 138.91 La.upf
Cd 112.41 Cd.upf
Sb 121.76 Sb.upf
CELL_PARAMETERS angstrom
3.380 0.000 0.000
0.000 3.380 0.000
0.000 0.000 10.250
ATOMIC_POSITIONS crystal
La 0.000 0.000 0.000
Cd 0.500 0.500 0.757
Sb 0.000 0.000 0.547
Sb 0.500 0.500 0.232
```

Properties
* magnetic moment: 0.0 μB/f.u.
* formation energy without anion corrections: -189 meV per atom
* total DFT energy (no corrections): -14.84 eV per formula unit
* crystal system: tetragonal


Entry 17:
## LaCdSb (GGA-PBE)

Data for a relaxed structure of LaCdSb. Values from VASP.

```
&SYSTEM
  ibrav = 0, nat = 6, ntyp = 3
/
ATOMIC_SPECIES
La 138.91 La.upf
Cd 112.41 Cd.upf
Sb 121.76 Sb.upf
CELL_PARAMETERS angstrom
4.544 0.000 0.000
0.000 4.552 0.000
-0.008 0.000 8.941
ATOMIC_POSITIONS crystal
La 0.249 0.250 0.323
La 0.751 0.750 0.677
Cd 0.250 0.750 0.001
Cd 0.750 0.250 0.999
Sb 0.251 0.250 0.685
Sb 0.749 0.750 0.315
```

Properties
* magnetic moment: 0.0 μB/f.u.
* energy above the lowest structure with this stoichiometry: 0.000 eV/f.u.
* formation energy without anion corrections: -708 meV per atom
* total DFT energy (no corrections): -12.09 eV per formula unit
* crystal system: monoclinic


Entry 18:
## LaCdSb2 (GGA-PBE)

Data for a relaxed structure of LaCdSb2. Values from VASP.

```
&SYSTEM
  ibrav = 0, nat = 4, ntyp = 3
/
ATOMIC_SPECIES
La 138.91 La.upf
Cd 112.41 Cd.upf
Sb 121.76 Sb.upf
CELL_PARAMETERS angstrom
1.882 1.087 9.678
-1.882 1.087 9.678
0.000 -2.173 9.678
ATOMIC_POSITIONS crystal
La 0.000 0.000 0.000
Cd 0.242 0.242 0.242
Sb 0.496 0.496 0.496
Sb 0.755 0.755 0.755
```

Properties
* magnetic moment: 0.0 μB/f.u.
* formation energy without anion corrections: -92 meV per atom
* total DFT energy (no corrections): -14.46 eV per formula unit
* crystal system: trigonal


Entry 19:
## La2CdSb2 (GGA-PBE)

Data for a relaxed structure of La2CdSb2. Values from VASP.

```
&SYSTEM
  ibrav = 0, nat = 10, ntyp = 3
/
ATOMIC_SPECIES
La 138.91 La.upf
Cd 112.41 Cd.upf
Sb 121.76 Sb.upf
CELL_PARAMETERS angstrom
8.781 0.000 0.000
0.000 8.781 0.000
0.000 0.000 4.179
ATOMIC_POSITIONS crystal
La 0.144 0.356 0.000
La 0.356 0.856 0.000
La 0.644 0.144 0.000
La 0.856 0.644 0.000
Cd 0.000 0.000 0.000
Cd 0.500 0.500 0.000
Sb 0.159 0.659 0.500
Sb 0.341 0.159 0.500
Sb 0.659 0.841 0.500
Sb 0.841 0.341 0.500
```

Properties
* magnetic moment: 0.0 μB/f.u.
* energy above the lowest structure with this stoichiometry: 0.298 eV/f.u.
* formation energy without anion corrections: -821 meV per atom
* total DFT energy (no corrections): -23.12 eV per formula unit
* crystal system: tetragonal


Entry 20:
## LaCdSb2 (GGA-PBE)

Data for a relaxed structure of LaCdSb2. Values from VASP.

```
&SYSTEM
  ibrav = 0, nat = 4, ntyp = 3
/
ATOMIC_SPECIES
La 138.91 La.upf
Cd 112.41 Cd.upf
Sb 121.76 Sb.upf
CELL_PARAMETERS angstrom
5.767 -2.258 0.000
5.767 2.258 0.000
-1.288 0.000 4.470
ATOMIC_POSITIONS crystal
La 0.000 0.000 0.000
Cd 0.759 0.759 0.347
Sb 0.279 0.279 0.919
Sb 0.524 0.524 0.507
```

Properties
* magnetic moment: 0.0 μB/f.u.
* formation energy without anion corrections: -589 meV per atom
* total DFT energy (no corrections): -16.44 eV per formula unit
* crystal system: monoclinic